# Y5Ho2Th2

A geometry-optimized Y5Ho2Th2 structure (PBE, Alexandria).

Formation energy from the elements, meV per atom: 263
Space group: No. 46

a b c (Å): 11.896 6.654 10.089
angles (deg): 109.25 126.13 90.00
Positions (direct):
1 Y 0.203 0.659 0.893
2 Y 0.797 0.766 0.107
3 Y 0.190 0.159 0.893
4 Y 0.810 0.266 0.107
5 Y 0.368 0.048 0.286
6 Y 0.632 0.762 0.714
7 Y 0.418 0.548 0.286
8 Y 0.582 0.262 0.714
9 Y 0.022 0.654 0.500
10 Y 0.978 0.154 0.500
11 Ho 0.128 0.676 0.250
12 Ho 0.872 0.426 0.750
13 Ho 0.622 0.176 0.250
14 Ho 0.378 0.926 0.750
15 Th 0.000 0.017 0.000
16 Th 0.500 0.517 0.000
17 Th 0.248 0.329 0.500
18 Th 0.752 0.829 0.500

# CdIn5Bi4

A geometry-optimized CdIn5Bi4 structure (PBE, Alexandria).

Formation energy from the elements, meV per atom: 45
Space group: No. 10

a b c (Å): 3.397 5.337 16.325
angles (deg): 89.96 89.98 90.00
Positions (direct):
1 Cd 0.000 0.000 0.000
2 In 0.499 0.500 0.099
3 In 0.499 0.500 0.299
4 In 0.500 0.500 0.500
5 In 0.501 0.500 0.701
6 In 0.501 0.500 0.901
7 Bi 0.000 0.000 0.190
8 Bi 0.000 0.000 0.397
9 Bi 0.000 0.000 0.603
10 Bi 0.000 0.000 0.810

# Al2IrRu

A geometry-optimized Al2IrRu structure (PBE, Alexandria).

Formation energy from the elements, meV per atom: -522
Space group: No. 12

a b c (Å): 4.348 4.348 4.953
angles (deg): 79.29 79.29 38.38
Positions (direct):
1 Ru 0.750 0.750 0.750
2 Ir 0.250 0.250 0.250
3 Al 0.000 0.000 0.998
4 Al 0.500 0.500 0.502

# Ti3Cu3S8

A geometry-optimized Ti3Cu3S8 structure (PBE, Alexandria).

Raw formation energy, eV/atom: -0.894
Space group: No. 166

a b c (Å): 7.136 7.136 7.136
angles (deg): 58.87 58.87 58.87
Positions (direct):
1 Ti 0.500 0.000 0.000
2 Ti 0.000 0.500 0.000
3 Ti 0.000 0.000 0.500
4 Cu 0.377 0.377 0.377
5 Cu 0.623 0.623 0.623
6 Cu 0.000 0.000 0.000
7 S 0.754 0.754 0.754
8 S 0.230 0.755 0.755
9 S 0.755 0.230 0.755
10 S 0.755 0.755 0.230
11 S 0.246 0.246 0.246
12 S 0.770 0.245 0.245
13 S 0.245 0.770 0.245
14 S 0.245 0.245 0.770

# KBaIr2

A geometry-optimized KBaIr2 structure (PBE, Alexandria).

Formation energy from the elements, meV per atom: 825
Space group: No. 139

a b c (Å): 5.792 5.792 5.792
angles (deg): 136.14 136.20 63.72
Positions (direct):
1 Ba 0.250 0.750 0.500
2 Ir 0.000 0.000 0.000
3 Ir 0.500 0.500 0.000
4 K 0.750 0.250 0.500

# LaDyBr

A geometry-optimized LaDyBr structure (PBE, Alexandria).

Raw formation energy, eV/atom: -0.752
Space group: No. 156

a b c (Å): 3.775 3.775 7.647
angles (deg): 90.00 90.00 120.00
Each line ends with the local moment (μB).
Positions (direct):
1 La 0.000 0.000 0.990  0.08
2 Br 0.333 0.667 0.650  0.00
3 Dy 0.667 0.333 0.360  0.23

no.,calculated total energy (eV per formula unit)
1,-54.0
2,-29.7
3,-27.7
4,-81.5
5,-17.4
6,-13.5